First-principles (GGA-PBE) data for a relaxed SrCdMo crystal, as listed in the Alexandria database.

Properties
symmetry	I4mm, No. 107

abc: 7.8899 7.8899 7.8899
angles: 158.13 158.13 31.12
Atoms (fractional coordinates):
Sr (0.0000, 0.0000, 0.0000)
Cd (0.6855, 0.6855, 0.0000)
Mo (0.3281, 0.3281, 0.0000)


First-principles (GGA-PBE) data for a relaxed CsIn2Pb2 crystal, as listed in the Alexandria database.

Properties
symmetry	I4/mmm, No. 139

abc: 7.3420 7.3420 7.3420
angles: 137.16 137.16 62.18
Atoms (fractional coordinates):
Cs (0.0000, 0.0000, 0.0000)
In (0.3819, 0.3819, 0.0000)
In (0.6181, 0.6181, 0.0000)
Pb (0.2500, 0.7500, 0.5000)
Pb (0.7500, 0.2500, 0.5000)


Formation enthalpy at 0 K / kJ per mole of atoms: 66.54, -13.02